1.
# PBE-GGA AlCo2Pb, optimized geometry
# relative energy among the computed polymorphs: 0.135 eV/atom
# E_form: 0.0981 eV per atom
# SG: Pm, No. 6
data_AlCo2Pb
_cell_length_a 5.054
_cell_length_b 3.944
_cell_length_c 6.430
_cell_angle_alpha 90.00
_cell_angle_beta 94.05
_cell_angle_gamma 90.00
_symmetry_space_group_name_H-M 'P 1'
_symmetry_Int_Tables_number 1
_symmetry_space_group_name_Hall 'P 1'
loop_
_atom_site_label
_atom_site_type_symbol
_atom_site_fract_x
_atom_site_fract_y
_atom_site_fract_z
_atom_site_occupancy
Al1 Al 0.173 0.500 0.148 1
Al2 Al 0.516 0.000 0.341 1
Pb1 Pb 0.332 0.500 0.664 1
Pb2 Pb 0.851 0.000 0.825 1
Co1 Co 0.368 0.000 0.987 1
Co2 Co 0.822 0.500 0.460 1
Co3 Co 0.987 0.000 0.285 1
Co4 Co 0.659 0.500 0.113 1

---

2.
# PBE-GGA KBAsSe2, optimized geometry
# relative energy among the computed polymorphs: 1.708 eV/atom
# E_form (uncorrected): 2.000 eV/atom
# SG: P4/mmm, No. 123
data_KBAsSe2
_cell_length_a 5.797
_cell_length_b 5.797
_cell_length_c 5.875
_cell_angle_alpha 90.00
_cell_angle_beta 90.00
_cell_angle_gamma 90.00
_symmetry_space_group_name_H-M 'P 1'
_symmetry_Int_Tables_number 1
_symmetry_space_group_name_Hall 'P 1'
loop_
_atom_site_label
_atom_site_type_symbol
_atom_site_fract_x
_atom_site_fract_y
_atom_site_fract_z
_atom_site_occupancy
Se1 Se 0.500 0.000 0.000 1
Se2 Se 0.000 0.500 0.000 1
K1 K 0.000 0.000 0.000 1
As1 As 0.000 0.000 0.500 1
B1 B 0.500 0.500 0.500 1

---

3.
# PBE-GGA SmPaN2, optimized geometry
# E_form (uncorrected): -1.173 eV/atom
# SG: P-3m1, No. 164
data_SmPaN2
_cell_length_a 3.476
_cell_length_b 3.476
_cell_length_c 6.141
_cell_angle_alpha 90.01
_cell_angle_beta 90.00
_cell_angle_gamma 120.00
_symmetry_space_group_name_H-M 'P 1'
_symmetry_Int_Tables_number 1
_symmetry_space_group_name_Hall 'P 1'
loop_
_atom_site_label
_atom_site_type_symbol
_atom_site_fract_x
_atom_site_fract_y
_atom_site_fract_z
_atom_site_occupancy
Sm1 Sm 0.000 0.500 0.000 1
N1 N 0.333 0.167 0.271 1
N2 N 0.667 0.833 0.729 1
Pa1 Pa 0.000 0.500 0.500 1

---

For each record above, in turn, the calculated magnetic moment values are 3.8 2.8 0.5 μB per cell.
For each record above, in turn, the calculated volume values are 128 197 64 Å³/cell.